# PBE-GGA KCa2Sb2, optimized geometry
data_KCa2Sb2
_cell_length_a 9.2920
_cell_length_b 9.2920
_cell_length_c 3.6726
_cell_angle_alpha 90.00
_cell_angle_beta 90.00
_cell_angle_gamma 90.00
_symmetry_space_group_name_H-M 'P 4/m b m'
_symmetry_Int_Tables_number 127
_symmetry_space_group_name_Hall '-P 4 2ab'
loop_
_atom_site_label
_atom_site_type_symbol
_atom_site_fract_x
_atom_site_fract_y
_atom_site_fract_z
_atom_site_occupancy
K1 K 0.0000 0.0000 0.0000 1
Ca1 Ca 0.1309 0.3691 0.0000 1
Sb1 Sb 0.1656 0.6656 0.5000 1
# uncorrected energy	-3.45	eV/atom

---

# PBE-GGA KCaSb, optimized geometry
data_KCaSb
_cell_length_a 5.2377
_cell_length_b 5.2377
_cell_length_c 5.4645
_cell_angle_alpha 90.00
_cell_angle_beta 90.00
_cell_angle_gamma 120.00
_symmetry_space_group_name_H-M 'P 3 m 1'
_symmetry_Int_Tables_number 156
loop_
_symmetry_equiv_pos_as_xyz
'x,y,z'
'-y,x-y,z'
'-x+y,-x,z'
'-y,-x,z'
'-x+y,y,z'
'x,x-y,z'
loop_
_atom_site_label
_atom_site_type_symbol
_atom_site_fract_x
_atom_site_fract_y
_atom_site_fract_z
_atom_site_occupancy
K1 K 0.0000 0.0000 0.0000 1
Ca1 Ca 0.3333 0.6667 0.4920 1
Sb1 Sb 0.6667 0.3333 0.4264 1
# uncorrected energy	-2.96	eV/atom

---

# PBE-GGA KCaSb, optimized geometry
data_KCaSb
_cell_length_a 4.3592
_cell_length_b 4.3994
_cell_length_c 12.4761
_cell_angle_alpha 90.00
_cell_angle_beta 90.00
_cell_angle_gamma 90.00
_symmetry_space_group_name_H-M 'I m m 2'
_symmetry_Int_Tables_number 44
loop_
_symmetry_equiv_pos_as_xyz
'x,y,z'
'-x,-y,z'
'-x,y,z'
'x,-y,z'
'x+1/2,y+1/2,z+1/2'
'-x+1/2,-y+1/2,z+1/2'
'-x+1/2,y+1/2,z+1/2'
'x+1/2,-y+1/2,z+1/2'
loop_
_atom_site_label
_atom_site_type_symbol
_atom_site_fract_x
_atom_site_fract_y
_atom_site_fract_z
_atom_site_occupancy
K1 K 0.0000 0.0000 0.0000 1
Ca1 Ca 0.0000 0.0000 0.2645 1
Sb1 Sb 0.0000 0.0000 0.7096 1
# uncorrected energy	-2.93	eV/atom

---

Number 1: total magnetization 0.00 μB/cell, D(E_F) 0.14 states/eV per atom, formation energy without anion corrections -0.78 eV per atom. Number 2: total magnetization 0.00 μB/cell, D(E_F) 0.18 states/eV per atom, formation energy without anion corrections -0.56 eV per atom. Number 3: total magnetization 0.00 μB/cell, D(E_F) 0.30 states/eV per atom, formation energy without anion corrections -0.52 eV per atom.